A plane-wave DFT calculation with PBE was carried out for a geometry-optimized Mg2Sc structure.

Cell lengths 5.9549, 5.9549, 5.9549 Å; angles 103.26, 103.26, 122.78 degrees
With the nearest neighbours (Å) after each atom.
Fractional coordinates of all 6 atoms:
Mg: 0.6542 0.8458 0.5000  4 Sc 3.14, 3 Mg 3.22-3.49
Mg: 0.8458 0.3458 0.1917  4 Sc 3.14, 3 Mg 3.22-3.49
Mg: 0.1542 0.6542 0.8083  4 Sc 3.14, 3 Mg 3.22-3.49
Sc: 0.7500 0.7500 0.0000  2 Sc 2.85, 8 Mg 3.14
Mg: 0.3458 0.1542 0.5000  4 Sc 3.14, 3 Mg 3.22-3.49
Sc: 0.2500 0.2500 0.0000  2 Sc 2.85, 8 Mg 3.14

- Calculated volume: 26.0 Å³/atom
- Symmetry: I4/mcm



A plane-wave DFT calculation with PBE was carried out for a geometry-optimized NpAs structure.

Cell lengths 3.4823, 4.9699, 4.9660 Å; angles 90.00, 90.03, 90.00 degrees
With the nearest neighbours (Å) after each atom.
Fractional coordinates of all 4 atoms:
Np: 0.9569 0.7500 0.7501  8 As 2.95-3.12
Np: 0.0431 0.2500 0.2499  8 As 2.95-3.12
As: 0.4995 0.7500 0.2500  8 Np 2.95-3.12
As: 0.5005 0.2500 0.7500  8 Np 2.95-3.12

- Calculated volume: 21.5 Å³/atom
- Symmetry: P4/nmm



A plane-wave DFT calculation with PBE was carried out for a geometry-optimized NbVSb structure.

Cell lengths 3.4650, 3.4650, 5.0703 Å; angles 109.98, 109.98, 90.00 degrees
With the nearest neighbours (Å) after each atom.
Fractional coordinates of all 3 atoms:
Sb: 0.0019 0.0019 0.0038  5 Nb 2.85-2.92, 5 V 2.89-2.90
Nb: 0.3232 0.3232 0.6464  4 V 2.78, 5 Sb 2.85-2.92
V: 0.6749 0.6749 0.3498  4 Nb 2.78, 5 Sb 2.89-2.90

- Calculated volume: 17.8 Å³/atom
- Raw formation energy: -0.0698 eV per atom
- Symmetry: I4mm



A plane-wave DFT calculation with PBE was carried out for a geometry-optimized BiIrS2 structure.

Cell lengths 16.4650, 4.1087, 7.7817 Å; angles 90.00, 135.32, 90.00 degrees
With the nearest neighbours (Å) after each atom.
Fractional coordinates of all 16 atoms:
Bi: 0.7372 0.7776 0.9098  3 Ir 2.81-2.94, 1 S 2.87
Ir: 0.0819 0.2261 0.0830  2 S 2.30-2.33
Bi: 0.2628 0.2224 0.0902  3 Ir 2.81-2.94, 1 S 2.87
S: 0.0084 0.1329 0.2420  1 S 2.06, 1 Ir 2.30
S: 0.9916 0.8671 0.7580  1 S 2.06, 1 Ir 2.30
Bi: 0.7628 0.2776 0.5902  3 Ir 2.81-2.94, 1 S 2.87
Ir: 0.4181 0.7261 0.4170  2 S 2.30-2.33
Bi: 0.2372 0.7224 0.4098  3 Ir 2.81-2.94, 1 S 2.87
Ir: 0.9181 0.7739 0.9170  2 S 2.30-2.33
S: 0.8692 0.1075 0.4298  1 S 2.06
Ir: 0.5819 0.2739 0.5830  2 S 2.30-2.33
S: 0.6308 0.6075 0.0702  1 S 2.06
S: 0.4916 0.6329 0.2580  1 S 2.06, 1 Ir 2.30
S: 0.5084 0.3671 0.7420  1 S 2.06, 1 Ir 2.30
S: 0.1308 0.8925 0.5702  1 S 2.06
S: 0.3692 0.3925 0.9298  1 S 2.06

- Calculated volume: 23.1 Å³/atom
- Raw formation energy: 0.0634 eV per atom
- Symmetry: P2_1/c



Number 1: E -2.9126 eV per atom. Number 2: E -9.3418 eV per atom. Number 3: E -7.8400 eV per atom. Number 4: E -5.1858 eV per atom.